Below is an optimized crystal structure of Tc3SnIr, with properties calculated at the GGA-PBEsol level.

Cell and atoms, written as CIF:
```
data_Tc3SnIr
_cell_length_a 4.6575
_cell_length_b 4.6575
_cell_length_c 4.6575
_cell_angle_alpha 90.00
_cell_angle_beta 90.00
_cell_angle_gamma 90.00
_symmetry_space_group_name_H-M 'P m -3 m'
_symmetry_Int_Tables_number 221
_symmetry_space_group_name_Hall '-P 4 2 3'
loop_
_atom_site_label
_atom_site_type_symbol
_atom_site_fract_x
_atom_site_fract_y
_atom_site_fract_z
Tc1 Tc 0.0000 0.0000 0.5000
Sn1 Sn 0.5000 0.5000 0.5000
Ir1 Ir 0.0000 0.0000 0.0000
```

Output
E above lowest polymorph (kJ per mole of atoms): 0.0
Size of the total moment (μB per cell): 1.6
Calculated volume (Å³/cell): 101.0
Calculated density (Mg/m³): 9.94
Formation energy from the elements (eV per atom): 1.633
Density of states at the Fermi level (states/eV/f.u.): 6.926

Below is an optimized crystal structure of SnTeIr3, with properties calculated at the GGA-PBEsol level.

Cell and atoms, written as CIF:
```
data_SnTeIr3
_cell_length_a 4.8133
_cell_length_b 4.8133
_cell_length_c 4.8133
_cell_angle_alpha 90.00
_cell_angle_beta 90.00
_cell_angle_gamma 90.00
_symmetry_space_group_name_H-M 'P m -3 m'
_symmetry_Int_Tables_number 221
_symmetry_space_group_name_Hall '-P 4 2 3'
loop_
_atom_site_label
_atom_site_type_symbol
_atom_site_fract_x
_atom_site_fract_y
_atom_site_fract_z
Sn1 Sn 0.0000 0.0000 0.0000
Te1 Te 0.5000 0.5000 0.5000
Ir1 Ir 0.0000 0.0000 0.5000
```

Output
Raw formation energy (eV/f.u.): 9.01
Size of the total moment (μB per cell): 1.0
Calculated volume (Å³/cell): 111.5
Calculated density (Mg/m³): 12.25
Density of states at the Fermi level (states/eV/f.u.): 7.510

Below is an optimized crystal structure of Sn3Te3Ir2, with properties calculated at the GGA-PBEsol level.

Cell and atoms, written as CIF:
```
data_Sn3Te3Ir2
_cell_length_a 13.1873
_cell_length_b 13.1873
_cell_length_c 16.1928
_cell_angle_alpha 90.00
_cell_angle_beta 90.00
_cell_angle_gamma 120.00
_symmetry_space_group_name_H-M 'R -3'
_symmetry_Int_Tables_number 148
_symmetry_space_group_name_Hall '-R 3'
loop_
_atom_site_label
_atom_site_type_symbol
_atom_site_fract_x
_atom_site_fract_y
_atom_site_fract_z
Sn1 Sn 0.0016 0.1645 0.3385
Sn2 Sn 0.0555 0.7844 0.9448
Te1 Te 0.0158 0.1799 0.8339
Te2 Te 0.0525 0.6015 0.1017
Ir1 Ir 0.0000 0.0000 0.2486
Ir2 Ir 0.9996 0.4993 0.2477
```

Output
Raw formation energy (eV/f.u.): -3.27
Size of the total moment (μB per cell): 0.0
Calculated volume (Å³/cell): 2438.7
Calculated density (Mg/m³): 9.18

Below is an optimized crystal structure of SnTeIr2, with properties calculated at the GGA-PBEsol level.

Cell and atoms, written as CIF:
```
data_SnTeIr2
_cell_length_a 6.5748
_cell_length_b 6.5748
_cell_length_c 6.5748
_cell_angle_alpha 90.00
_cell_angle_beta 90.00
_cell_angle_gamma 90.00
_symmetry_space_group_name_H-M 'F m -3 m'
_symmetry_Int_Tables_number 225
_symmetry_space_group_name_Hall '-F 4 2 3'
loop_
_atom_site_label
_atom_site_type_symbol
_atom_site_fract_x
_atom_site_fract_y
_atom_site_fract_z
Sn1 Sn 0.0000 0.0000 0.0000
Te1 Te 0.0000 0.0000 0.5000
Ir1 Ir 0.2500 0.2500 0.2500
```

Output
Raw formation energy (eV/f.u.): 1.43
Size of the total moment (μB per cell): 0.0
Calculated volume (Å³/cell): 284.2
Calculated density (Mg/m³): 14.74
Density of states at the Fermi level (states/eV/f.u.): 3.259

Below is an optimized crystal structure of TiSnIr, with properties calculated at the GGA-PBEsol level.

Cell and atoms, written as CIF:
```
data_TiSnIr
_cell_length_a 6.1280
_cell_length_b 6.1280
_cell_length_c 6.1280
_cell_angle_alpha 90.00
_cell_angle_beta 90.00
_cell_angle_gamma 90.00
_symmetry_space_group_name_H-M 'F -4 3 m'
_symmetry_Int_Tables_number 216
_symmetry_space_group_name_Hall 'F -4 2 3'
loop_
_atom_site_label
_atom_site_type_symbol
_atom_site_fract_x
_atom_site_fract_y
_atom_site_fract_z
Ti1 Ti 0.0000 0.0000 0.0000
Sn1 Sn 0.0000 0.0000 0.5000
Ir1 Ir 0.2500 0.2500 0.2500
```

Output
Size of the total moment (μB per cell): 0.0
Calculated volume (Å³/cell): 230.1
Calculated density (Mg/m³): 10.36
Formation energy from the elements (eV per atom): -0.558
Density of states at the Fermi level (states/eV/f.u.): 5.761

Below is an optimized crystal structure of Ti2SnIr2, with properties calculated at the GGA-PBEsol level.

Cell and atoms, written as CIF:
```
data_Ti2SnIr2
_cell_length_a 4.1522
_cell_length_b 4.1522
_cell_length_c 10.5091
_cell_angle_alpha 90.00
_cell_angle_beta 90.00
_cell_angle_gamma 90.00
_symmetry_space_group_name_H-M 'I 4/m m m'
_symmetry_Int_Tables_number 139
_symmetry_space_group_name_Hall '-I 4 2'
loop_
_atom_site_label
_atom_site_type_symbol
_atom_site_fract_x
_atom_site_fract_y
_atom_site_fract_z
Ti1 Ti 0.0000 0.5000 0.2500
Sn1 Sn 0.0000 0.0000 0.0000
Ir1 Ir 0.0000 0.0000 0.3799
```

Output
Size of the total moment (μB per cell): 0.0
Calculated volume (Å³/cell): 181.2
Calculated density (Mg/m³): 10.98
Formation energy from the elements (eV per atom): -0.494
Density of states at the Fermi level (states/eV/f.u.): 1.756

Below is an optimized crystal structure of TlSn2Ir, with properties calculated at the GGA-PBEsol level.

Cell and atoms, written as CIF:
```
data_TlSn2Ir
_cell_length_a 6.9606
_cell_length_b 6.9606
_cell_length_c 6.9606
_cell_angle_alpha 90.00
_cell_angle_beta 90.00
_cell_angle_gamma 90.00
_symmetry_space_group_name_H-M 'F m -3 m'
_symmetry_Int_Tables_number 225
_symmetry_space_group_name_Hall '-F 4 2 3'
loop_
_atom_site_label
_atom_site_type_symbol
_atom_site_fract_x
_atom_site_fract_y
_atom_site_fract_z
Tl1 Tl 0.0000 0.0000 0.0000
Sn1 Sn 0.2500 0.2500 0.2500
Ir1 Ir 0.0000 0.0000 0.5000
```

Output
Size of the total moment (μB per cell): 0.0
Calculated volume (Å³/cell): 337.2
Calculated density (Mg/m³): 12.49
Formation energy from the elements (eV per atom): 0.294
Density of states at the Fermi level (states/eV/f.u.): 1.901

Below is an optimized crystal structure of TlSnIr3, with properties calculated at the GGA-PBEsol level.

Cell and atoms, written as CIF:
```
data_TlSnIr3
_cell_length_a 4.8151
_cell_length_b 4.8151
_cell_length_c 4.8151
_cell_angle_alpha 90.00
_cell_angle_beta 90.00
_cell_angle_gamma 90.00
_symmetry_space_group_name_H-M 'P m -3 m'
_symmetry_Int_Tables_number 221
_symmetry_space_group_name_Hall '-P 4 2 3'
loop_
_atom_site_label
_atom_site_type_symbol
_atom_site_fract_x
_atom_site_fract_y
_atom_site_fract_z
Tl1 Tl 0.0000 0.0000 0.0000
Sn1 Sn 0.5000 0.5000 0.5000
Ir1 Ir 0.0000 0.5000 0.5000
```

Output
Size of the total moment (μB per cell): 0.0
Calculated volume (Å³/cell): 111.6
Calculated density (Mg/m³): 13.38
Formation energy from the elements (eV per atom): 1.769
Density of states at the Fermi level (states/eV/f.u.): 3.795

Below is an optimized crystal structure of USnIr, with properties calculated at the GGA-PBEsol level.

Cell and atoms, written as CIF:
```
data_USnIr
_cell_length_a 7.2465
_cell_length_b 7.2465
_cell_length_c 4.0168
_cell_angle_alpha 90.00
_cell_angle_beta 90.00
_cell_angle_gamma 120.00
_symmetry_space_group_name_H-M 'P -6 2 m'
_symmetry_Int_Tables_number 189
_symmetry_space_group_name_Hall 'P -6 -2'
loop_
_atom_site_label
_atom_site_type_symbol
_atom_site_fract_x
_atom_site_fract_y
_atom_site_fract_z
U1 U 0.0000 0.4149 0.0000
Sn1 Sn 0.0000 0.7462 0.5000
Ir1 Ir 0.0000 0.0000 0.0000
Ir2 Ir 0.3333 0.6667 0.5000
```

Output
Size of the total moment (μB per cell): 6.2
Calculated volume (Å³/cell): 182.7
Calculated density (Mg/m³): 14.97
Formation energy from the elements (eV per atom): -0.371
Density of states at the Fermi level (states/eV/f.u.): 5.279

Below is an optimized crystal structure of YSnIr, with properties calculated at the GGA-PBEsol level.

Cell and atoms, written as CIF:
```
data_YSnIr
_cell_length_a 6.8732
_cell_length_b 4.5221
_cell_length_c 7.9593
_cell_angle_alpha 90.00
_cell_angle_beta 90.00
_cell_angle_gamma 90.00
_symmetry_space_group_name_H-M 'P n m a'
_symmetry_Int_Tables_number 62
_symmetry_space_group_name_Hall '-P 2ac 2n'
loop_
_atom_site_label
_atom_site_type_symbol
_atom_site_fract_x
_atom_site_fract_y
_atom_site_fract_z
Y1 Y 0.0200 0.2500 0.1897
Sn1 Sn 0.1661 0.2500 0.5735
Ir1 Ir 0.2331 0.7500 0.3975
```

Output
Size of the total moment (μB per cell): 0.0
Calculated volume (Å³/cell): 247.4
Calculated density (Mg/m³): 10.74
Formation energy from the elements (eV per atom): -0.856
Density of states at the Fermi level (states/eV/f.u.): 1.399

Below is an optimized crystal structure of ZrSnIr, with properties calculated at the GGA-PBEsol level.

Cell and atoms, written as CIF:
```
data_ZrSnIr
_cell_length_a 7.2796
_cell_length_b 7.2796
_cell_length_c 3.6902
_cell_angle_alpha 90.00
_cell_angle_beta 90.00
_cell_angle_gamma 120.00
_symmetry_space_group_name_H-M 'P -6 2 m'
_symmetry_Int_Tables_number 189
_symmetry_space_group_name_Hall 'P -6 -2'
loop_
_atom_site_label
_atom_site_type_symbol
_atom_site_fract_x
_atom_site_fract_y
_atom_site_fract_z
Zr1 Zr 0.0000 0.3955 0.0000
Sn1 Sn 0.0000 0.7329 0.5000
Ir1 Ir 0.0000 0.0000 0.0000
Ir2 Ir 0.3333 0.6667 0.5000
```

Output
Size of the total moment (μB per cell): 0.0
Calculated volume (Å³/cell): 169.4
Calculated density (Mg/m³): 11.83
Formation energy from the elements (eV per atom): -0.769
Density of states at the Fermi level (states/eV/f.u.): 0.414

Below is an optimized crystal structure of ZrSnIr, with properties calculated at the GGA-PBEsol level.

Cell and atoms, written as CIF:
```
data_ZrSnIr
_cell_length_a 7.3110
_cell_length_b 7.3110
_cell_length_c 7.2869
_cell_angle_alpha 90.00
_cell_angle_beta 90.00
_cell_angle_gamma 120.00
_symmetry_space_group_name_H-M 'P -6 2 c'
_symmetry_Int_Tables_number 190
_symmetry_space_group_name_Hall 'P -6c -2c'
loop_
_atom_site_label
_atom_site_type_symbol
_atom_site_fract_x
_atom_site_fract_y
_atom_site_fract_z
Zr1 Zr 0.0205 0.4056 0.2500
Sn1 Sn 0.0000 0.7290 0.0000
Ir1 Ir 0.0000 0.0000 0.2500
Ir2 Ir 0.3333 0.6667 0.5390
```

Output
Size of the total moment (μB per cell): 0.0
Calculated volume (Å³/cell): 337.3
Calculated density (Mg/m³): 11.88
Formation energy from the elements (eV per atom): -0.787
Density of states at the Fermi level (states/eV/f.u.): 1.109